# TaRh2Au (meta-GGA SCAN, PBEsol geometry)
data_TaRh2Au
_cell_length_a 5.548
_cell_length_b 9.087
_cell_length_c 2.763
_cell_angle_alpha 90.00
_cell_angle_beta 118.34
_cell_angle_gamma 90.00
_symmetry_space_group_name_H-M 'C 1 2/m 1'
_symmetry_Int_Tables_number 12
loop_
_symmetry_equiv_pos_as_xyz
'x,y,z'
'-x,-y,-z'
'-x,y,-z'
'x,-y,z'
'x+1/2,y+1/2,z'
'-x+1/2,-y+1/2,-z'
'-x+1/2,y+1/2,-z'
'x+1/2,-y+1/2,z'
loop_
_atom_site_label
_atom_site_fract_x
_atom_site_fract_y
_atom_site_fract_z
Ta1 0.000 0.000 0.000
Rh1 0.250 0.250 0.500
Au1 0.000 0.500 0.000
# - Energy relative to the elements: -0.129 eV/atom
# - Mass density: 15.81 g cm⁻³
# - Magnetic moment: 0.00 μB/f.u.